No. 1
Entry from OQMD via LeMat-Bulk: an optimized crystal structure of SmAlTl (PBE).

electronic total energy = -3.4594 eV per atom

```
data_SmAlTl
_cell_length_a 5.0507
_cell_length_b 5.0507
_cell_length_c 5.0507
_cell_angle_alpha 60.00
_cell_angle_beta 60.00
_cell_angle_gamma 60.00
_space_group_name_H-M_alt 'P 1'
_space_group_IT_number 1
loop_
_space_group_symop_operation_xyz
'x,y,z'
loop_
_atom_site_label
_atom_site_fract_x
_atom_site_fract_y
_atom_site_fract_z
Al1 0.2500 0.2500 0.2500
Sm1 0.0000 0.0000 0.0000
Tl1 0.7500 0.7500 0.7500
```


No. 2
Entry from OQMD via LeMat-Bulk: an optimized crystal structure of Al2Cu5Ni (PBE).

electronic total energy = -4.1471 eV per atom

```
data_Al2Cu5Ni
_cell_length_a 4.0857
_cell_length_b 4.0857
_cell_length_c 5.8000
_cell_angle_alpha 90.00
_cell_angle_beta 90.00
_cell_angle_gamma 90.00
_space_group_name_H-M_alt 'P 1'
_space_group_IT_number 1
loop_
_space_group_symop_operation_xyz
'x,y,z'
loop_
_atom_site_label
_atom_site_fract_x
_atom_site_fract_y
_atom_site_fract_z
Al1 0.0000 0.0000 0.0000
Al2 0.5000 0.5000 0.5000
Cu1 0.5000 0.5000 0.0000
Cu2 0.5000 0.0000 0.2508
Cu3 0.0000 0.5000 0.2508
Cu4 0.5000 0.0000 0.7492
Cu5 0.0000 0.5000 0.7492
Ni1 0.0000 0.0000 0.5000
```


No. 3
Entry from OQMD via LeMat-Bulk: an optimized crystal structure of DyHo4Ag5 (PBE).

energy of formation = -0.340 eV per atom

```
data_DyHo4Ag5
_cell_length_a 3.6036
_cell_length_b 3.6036
_cell_length_c 18.1192
_cell_angle_alpha 90.00
_cell_angle_beta 90.00
_cell_angle_gamma 90.00
_space_group_name_H-M_alt 'P 1'
_space_group_IT_number 1
loop_
_space_group_symop_operation_xyz
'x,y,z'
loop_
_atom_site_label
_atom_site_fract_x
_atom_site_fract_y
_atom_site_fract_z
Ag1 0.5000 0.5000 0.1011
Ag2 0.5000 0.5000 0.3003
Ag3 0.5000 0.5000 0.5000
Ag4 0.5000 0.5000 0.6997
Ag5 0.5000 0.5000 0.8989
Dy1 0.0000 0.0000 0.0000
Ho1 0.0000 0.0000 0.2005
Ho2 0.0000 0.0000 0.4001
Ho3 0.0000 0.0000 0.5999
Ho4 0.0000 0.0000 0.7995
```


No. 4
Entry from OQMD via LeMat-Bulk: an optimized crystal structure of Nd2US5 (PBE).

electronic total energy = -7.0158 eV per atom

```
data_Nd2US5
_cell_length_a 11.9327
_cell_length_b 8.0665
_cell_length_c 7.4995
_cell_angle_alpha 90.00
_cell_angle_beta 90.00
_cell_angle_gamma 90.00
_space_group_name_H-M_alt 'P 1'
_space_group_IT_number 1
loop_
_space_group_symop_operation_xyz
'x,y,z'
loop_
_atom_site_label
_atom_site_fract_x
_atom_site_fract_y
_atom_site_fract_z
Nd1 0.8228 0.5003 0.0234
Nd2 0.8228 0.9997 0.0234
Nd3 0.3228 0.5003 0.4766
Nd4 0.3228 0.9997 0.4766
Nd5 0.6772 0.0003 0.5234
Nd6 0.6772 0.4997 0.5234
Nd7 0.1772 0.0003 0.9766
Nd8 0.1772 0.4997 0.9766
S1 0.0007 0.7500 0.0464
S2 0.5955 0.0419 0.1609
S3 0.5955 0.4581 0.1609
S4 0.3142 0.2500 0.1701
S5 0.2861 0.7500 0.1963
S6 0.7861 0.7500 0.3037
S7 0.8142 0.2500 0.3299
S8 0.0955 0.0419 0.3391
S9 0.0955 0.4581 0.3391
S10 0.5007 0.7500 0.4536
S11 0.4993 0.2500 0.5464
S12 0.9045 0.5419 0.6609
S13 0.9045 0.9581 0.6609
S14 0.1858 0.7500 0.6701
S15 0.2139 0.2500 0.6963
S16 0.7139 0.2500 0.8037
S17 0.6858 0.7500 0.8299
S18 0.4045 0.5419 0.8391
S19 0.4045 0.9581 0.8391
S20 0.9993 0.2500 0.9536
U1 0.5085 0.7500 0.0705
U2 0.0085 0.7500 0.4295
U3 0.9915 0.2500 0.5705
U4 0.4915 0.2500 0.9295
```


No. 5
Entry from OQMD via LeMat-Bulk: an optimized crystal structure of Pt15Pb (PBE).

polymorph energy (0 for the lowest one) = 33 meV/atom

```
data_Pt15Pb
_cell_length_a 5.5714
_cell_length_b 2.8442
_cell_length_c 44.7325
_cell_angle_alpha 90.00
_cell_angle_beta 90.00
_cell_angle_gamma 90.00
_space_group_name_H-M_alt 'P 1'
_space_group_IT_number 1
loop_
_space_group_symop_operation_xyz
'x,y,z'
loop_
_atom_site_label
_atom_site_fract_x
_atom_site_fract_y
_atom_site_fract_z
Pb1 0.6250 0.7500 0.1576
Pb2 0.3750 0.2500 0.8424
Pt1 0.1250 0.7500 0.1708
Pt2 0.3802 0.2500 0.2134
Pt3 0.8698 0.2500 0.2134
Pt4 0.6250 0.7500 0.2573
Pt5 0.1250 0.7500 0.2582
Pt6 0.3756 0.2500 0.3020
Pt7 0.8744 0.2500 0.3020
Pt8 0.6250 0.7500 0.3459
Pt9 0.1250 0.7500 0.3460
Pt10 0.3751 0.2500 0.3899
Pt11 0.8749 0.2500 0.3900
Pt12 0.6250 0.7500 0.4340
Pt13 0.1250 0.7500 0.4340
Pt14 0.3751 0.2500 0.4780
Pt15 0.8750 0.2500 0.4780
Pt16 0.1250 0.7500 0.5220
Pt17 0.6249 0.7500 0.5220
Pt18 0.8750 0.2500 0.5660
Pt19 0.3750 0.2500 0.5660
Pt20 0.1251 0.7500 0.6100
Pt21 0.6249 0.7500 0.6101
Pt22 0.8750 0.2500 0.6540
Pt23 0.3750 0.2500 0.6541
Pt24 0.1256 0.7500 0.6980
Pt25 0.6244 0.7500 0.6980
Pt26 0.8750 0.2500 0.7418
Pt27 0.3750 0.2500 0.7427
Pt28 0.1302 0.7500 0.7866
Pt29 0.6198 0.7500 0.7866
Pt30 0.8750 0.2500 0.8292
```


No. 6
Entry from OQMD via LeMat-Bulk: an optimized crystal structure of Dy2Er3Tm2Ni2Te2 (PBE).

polymorph energy (0 for the lowest one) = 9 meV/atom

```
data_Dy2Er3Tm2Ni2Te2
_cell_length_a 9.2958
_cell_length_b 9.2958
_cell_length_c 9.2958
_cell_angle_alpha 156.21
_cell_angle_beta 66.91
_cell_angle_gamma 118.50
_space_group_name_H-M_alt 'P 1'
_space_group_IT_number 1
loop_
_space_group_symop_operation_xyz
'x,y,z'
loop_
_atom_site_label
_atom_site_fract_x
_atom_site_fract_y
_atom_site_fract_z
Dy1 0.2457 0.0604 0.1853
Dy2 0.8750 0.0604 0.8147
Er1 0.6310 0.2641 0.3669
Er2 0.1814 0.6814 0.5000
Er3 0.8971 0.2641 0.6331
Ni1 0.0160 0.7534 0.2625
Ni2 0.4909 0.7534 0.7375
Te1 0.9161 0.9161 0.0000
Te2 0.5186 0.0186 0.5000
Tm1 0.5578 0.4114 0.1464
Tm2 0.2651 0.4114 0.8536
```


In order of appearance, total magnetization = 0.01; 0.00; 0.00; 8.02; 0.01; 0.01 Bohr magnetons per cell.